1.
# TeAs2Se, relaxed, DFT PBEsol
data_TeAs2Se
_chemical_formula_sum 'Te1 As2 Se1'
_cell_length_a 4.8495
_cell_length_b 4.0297
_cell_length_c 5.0738
_cell_angle_alpha 90.00
_cell_angle_beta 108.80
_cell_angle_gamma 90.00
_symmetry_space_group_name_H-M 'P 1 2/m 1'
_symmetry_Int_Tables_number 10
loop_
_symmetry_equiv_pos_as_xyz
'x,y,z'
'-x,-y,-z'
'-x,y,-z'
'x,-y,z'
loop_
_atom_site_label
_atom_site_type_symbol
_atom_site_fract_x
_atom_site_fract_y
_atom_site_fract_z
Te1 Te 0.0000 0.0000 0.0000
As1 As 0.2275 0.5000 0.7106
Se1 Se 0.5000 0.0000 0.5000
# Excess energy over the best structure of this formula in the dataset: 0 meV per atom
# Uncorrected formation energy: 57 meV/atom
# E_tot: -17.36 eV/cell
# Magnetization: 0.000 μB per atom

2.
# Te2AsSe, relaxed, DFT PBEsol
data_Te2AsSe
_chemical_formula_sum 'Te6 As3 Se3'
_cell_length_a 3.8876
_cell_length_b 3.8876
_cell_length_c 26.5762
_cell_angle_alpha 90.00
_cell_angle_beta 90.00
_cell_angle_gamma 120.00
_symmetry_space_group_name_H-M 'R -3 m'
_symmetry_Int_Tables_number 166
_symmetry_space_group_name_Hall '-R 3 2"'
loop_
_atom_site_label
_atom_site_type_symbol
_atom_site_fract_x
_atom_site_fract_y
_atom_site_fract_z
Te1 Te 0.0000 0.0000 0.0993
As1 As 0.0000 0.0000 0.5000
Se1 Se 0.0000 0.0000 0.0000
# Uncorrected formation energy: 209 meV/atom
# E_tot: -45.52 eV/cell
# Magnetization: 0.000 μB per atom

3.
# TeAsSe, relaxed, DFT PBEsol
data_TeAsSe
_chemical_formula_sum 'Te4 As4 Se4'
_cell_length_a 6.7336
_cell_length_b 6.7336
_cell_length_c 6.7336
_cell_angle_alpha 90.00
_cell_angle_beta 90.00
_cell_angle_gamma 90.00
_symmetry_space_group_name_H-M 'F -4 3 m'
_symmetry_Int_Tables_number 216
_symmetry_space_group_name_Hall 'F -4 2 3'
loop_
_atom_site_label
_atom_site_type_symbol
_atom_site_fract_x
_atom_site_fract_y
_atom_site_fract_z
Te1 Te 0.0000 0.0000 0.0000
As1 As 0.2500 0.2500 0.7500
Se1 Se 0.0000 0.0000 0.5000
# Excess energy over the best structure of this formula in the dataset: 43 meV per atom
# Uncorrected formation energy: 299 meV/atom
# E_tot: -46.35 eV/cell
# Magnetization: 0.000 μB per atom

4.
# TeAs2Se, relaxed, DFT PBEsol
data_TeAs2Se
_chemical_formula_sum 'Te1 As2 Se1'
_cell_length_a 4.8883
_cell_length_b 3.9895
_cell_length_c 5.0188
_cell_angle_alpha 90.00
_cell_angle_beta 110.43
_cell_angle_gamma 90.00
_symmetry_space_group_name_H-M 'P 1 m 1'
_symmetry_Int_Tables_number 6
loop_
_symmetry_equiv_pos_as_xyz
'x,y,z'
'x,-y,z'
loop_
_atom_site_label
_atom_site_type_symbol
_atom_site_fract_x
_atom_site_fract_y
_atom_site_fract_z
Te1 Te 0.0000 0.0000 0.0000
As1 As 0.2498 0.5000 0.7491
As2 As 0.4854 0.0000 0.5185
Se1 Se 0.7240 0.5000 0.2878
# Excess energy over the best structure of this formula in the dataset: 2 meV per atom
# Uncorrected formation energy: 59 meV/atom
# E_tot: -17.35 eV/cell
# Magnetization: 0.000 μB per atom

5.
# TeAsSe2, relaxed, DFT PBEsol
data_TeAsSe2
_chemical_formula_sum 'Te4 As4 Se8'
_cell_length_a 6.9482
_cell_length_b 6.9482
_cell_length_c 6.9482
_cell_angle_alpha 90.00
_cell_angle_beta 90.00
_cell_angle_gamma 90.00
_symmetry_space_group_name_H-M 'F -4 3 m'
_symmetry_Int_Tables_number 216
_symmetry_space_group_name_Hall 'F -4 2 3'
loop_
_atom_site_label
_atom_site_type_symbol
_atom_site_fract_x
_atom_site_fract_y
_atom_site_fract_z
Te1 Te 0.0000 0.0000 0.0000
As1 As 0.2500 0.2500 0.7500
Se1 Se 0.0000 0.0000 0.5000
Se2 Se 0.2500 0.2500 0.2500
# Excess energy over the best structure of this formula in the dataset: 105 meV per atom
# Uncorrected formation energy: 352 meV/atom
# E_tot: -59.71 eV/cell
# Magnetization: 0.000 μB per atom

6.
# TeAsSe, relaxed, DFT PBEsol
data_TeAsSe
_chemical_formula_sum 'Te2 As2 Se2'
_cell_length_a 3.9554
_cell_length_b 3.9554
_cell_length_c 9.7025
_cell_angle_alpha 90.00
_cell_angle_beta 90.00
_cell_angle_gamma 90.00
_symmetry_space_group_name_H-M 'I 4 m m'
_symmetry_Int_Tables_number 107
_symmetry_space_group_name_Hall 'I 4 -2'
loop_
_atom_site_label
_atom_site_type_symbol
_atom_site_fract_x
_atom_site_fract_y
_atom_site_fract_z
Te1 Te 0.0000 0.0000 0.0000
As1 As 0.0000 0.0000 0.5758
Se1 Se 0.0000 0.0000 0.3249
# Excess energy over the best structure of this formula in the dataset: 5 meV per atom
# Uncorrected formation energy: 260 meV/atom
# E_tot: -23.40 eV/cell
# Magnetization: 0.000 μB per atom

7.
# ThAsSe, relaxed, DFT PBEsol
data_ThAsSe
_chemical_formula_sum 'Th2 As2 Se2'
_cell_length_a 4.0805
_cell_length_b 4.0805
_cell_length_c 8.4511
_cell_angle_alpha 90.00
_cell_angle_beta 90.00
_cell_angle_gamma 90.00
_symmetry_space_group_name_H-M 'P 4/n m m'
_symmetry_Int_Tables_number 129
loop_
_symmetry_equiv_pos_as_xyz
'x,y,z'
'-x,-y,-z'
'-y+1/2,x,z'
'y+1/2,-x,-z'
'-x+1/2,-y+1/2,z'
'x+1/2,y+1/2,-z'
'y,-x+1/2,z'
'-y,x+1/2,-z'
'x+1/2,-y,-z'
'-x+1/2,y,z'
'-y,-x,-z'
'y,x,z'
'-x,y+1/2,-z'
'x,-y+1/2,z'
'y+1/2,x+1/2,-z'
'-y+1/2,-x+1/2,z'
loop_
_atom_site_label
_atom_site_type_symbol
_atom_site_fract_x
_atom_site_fract_y
_atom_site_fract_z
Th1 Th 0.2500 0.2500 0.2325
As1 As 0.2500 0.7500 0.5000
Se1 Se 0.2500 0.2500 0.8672
# Uncorrected formation energy: -1465 meV/atom
# E_tot: -42.91 eV/cell
# Magnetization: 0.000 μB per atom

8.
# Tl3AsSe3, relaxed, DFT PBEsol
data_Tl3AsSe3
_chemical_formula_sum 'Tl9 As3 Se9'
_cell_length_a 9.7441
_cell_length_b 9.7441
_cell_length_c 7.0347
_cell_angle_alpha 90.00
_cell_angle_beta 90.00
_cell_angle_gamma 120.00
_symmetry_space_group_name_H-M 'R 3 m'
_symmetry_Int_Tables_number 160
_symmetry_space_group_name_Hall 'R 3 -2"'
loop_
_atom_site_label
_atom_site_type_symbol
_atom_site_fract_x
_atom_site_fract_y
_atom_site_fract_z
Tl1 Tl 0.0777 0.5389 0.0000
As1 As 0.0000 0.0000 0.9298
Se1 Se 0.0772 0.5386 0.4431
# Uncorrected formation energy: -263 meV/atom
# E_tot: -79.17 eV/cell
# Magnetization: 0.000 μB per atom

9.
# TlAs2Se, relaxed, DFT PBEsol
data_TlAs2Se
_chemical_formula_sum 'Tl1 As2 Se1'
_cell_length_a 3.7104
_cell_length_b 5.1095
_cell_length_c 5.3429
_cell_angle_alpha 90.00
_cell_angle_beta 91.43
_cell_angle_gamma 90.00
_symmetry_space_group_name_H-M 'P 1 2/m 1'
_symmetry_Int_Tables_number 10
loop_
_symmetry_equiv_pos_as_xyz
'x,y,z'
'-x,-y,-z'
'-x,y,-z'
'x,-y,z'
loop_
_atom_site_label
_atom_site_type_symbol
_atom_site_fract_x
_atom_site_fract_y
_atom_site_fract_z
Tl1 Tl 0.0000 0.0000 0.0000
As1 As 0.2568 0.5000 0.6517
Se1 Se 0.5000 0.0000 0.5000
# Uncorrected formation energy: 74 meV/atom
# E_tot: -16.40 eV/cell
# Magnetization: 0.000 μB per atom

10.
# TlAsWSe2, relaxed, DFT PBEsol
data_TlAsWSe2
_chemical_formula_sum 'Tl1 As1 W1 Se2'
_cell_length_a 4.9601
_cell_length_b 4.9601
_cell_length_c 4.8895
_cell_angle_alpha 90.00
_cell_angle_beta 90.00
_cell_angle_gamma 90.00
_symmetry_space_group_name_H-M 'P 4/m m m'
_symmetry_Int_Tables_number 123
_symmetry_space_group_name_Hall '-P 4 2'
loop_
_atom_site_label
_atom_site_type_symbol
_atom_site_fract_x
_atom_site_fract_y
_atom_site_fract_z
Tl1 Tl 0.0000 0.0000 0.0000
As1 As 0.5000 0.5000 0.0000
W1 W 0.5000 0.5000 0.5000
Se1 Se 0.0000 0.5000 0.5000
# Uncorrected formation energy: 156 meV/atom
# E_tot: -28.47 eV/cell
# Magnetization: 0.000 μB per atom

11.
# TmAsSe, relaxed, DFT PBEsol
data_TmAsSe
_chemical_formula_sum 'Tm2 As2 Se2'
_cell_length_a 3.8200
_cell_length_b 3.8200
_cell_length_c 8.5111
_cell_angle_alpha 90.00
_cell_angle_beta 90.00
_cell_angle_gamma 90.00
_symmetry_space_group_name_H-M 'P 4/n m m'
_symmetry_Int_Tables_number 129
loop_
_symmetry_equiv_pos_as_xyz
'x,y,z'
'-x,-y,-z'
'-y+1/2,x,z'
'y+1/2,-x,-z'
'-x+1/2,-y+1/2,z'
'x+1/2,y+1/2,-z'
'y,-x+1/2,z'
'-y,x+1/2,-z'
'x+1/2,-y,-z'
'-x+1/2,y,z'
'-y,-x,-z'
'y,x,z'
'-x,y+1/2,-z'
'x,-y+1/2,z'
'y+1/2,x+1/2,-z'
'-y+1/2,-x+1/2,z'
loop_
_atom_site_label
_atom_site_type_symbol
_atom_site_fract_x
_atom_site_fract_y
_atom_site_fract_z
Tm1 Tm 0.2500 0.2500 0.2233
As1 As 0.2500 0.7500 0.5000
Se1 Se 0.2500 0.2500 0.8761
# Uncorrected formation energy: -1458 meV/atom
# E_tot: -36.46 eV/cell
# Magnetization: 0.000 μB per atom

12.
# TmAsSe, relaxed, DFT PBEsol
data_TmAsSe
_chemical_formula_sum 'Tm4 As4 Se4'
_cell_length_a 7.0684
_cell_length_b 3.7947
_cell_length_c 9.3611
_cell_angle_alpha 90.00
_cell_angle_beta 90.00
_cell_angle_gamma 90.00
_symmetry_space_group_name_H-M 'P n m a'
_symmetry_Int_Tables_number 62
loop_
_symmetry_equiv_pos_as_xyz
'x,y,z'
'-x,-y,-z'
'-x+1/2,-y,z+1/2'
'x+1/2,y,-z+1/2'
'x+1/2,-y+1/2,-z+1/2'
'-x+1/2,y+1/2,z+1/2'
'-x,y+1/2,-z'
'x,-y+1/2,z'
loop_
_atom_site_label
_atom_site_type_symbol
_atom_site_fract_x
_atom_site_fract_y
_atom_site_fract_z
Tm1 Tm 0.2179 0.2500 0.1602
As1 As 0.1048 0.2500 0.4589
Se1 Se 0.0853 0.2500 0.8473
# Uncorrected formation energy: -1430 meV/atom
# E_tot: -72.58 eV/cell
# Magnetization: 0.000 μB per atom

uncorrected formation energy of number 5 (TeAsSe2)? 352 meV/atom

Number 4 is which compound? TeAs2Se

What is the E_tot in the twelfth record? -72.58 eV/cell

Which value of uncorrected formation energy does entry 11 give? -1458 meV/atom